VASP calculation (PBE with a Hubbard U) on an optimized crystal structure of Ga2W3O12.

Cell: 13.1060 9.3876 9.4836 Å, 90.00 90.00 90.00°
Fractional coordinates of all 68 atoms:
Ga (0.1191, 0.2498, 0.0346)
Ga (0.1191, 0.7502, 0.5346)
Ga (0.3809, 0.2502, 0.5346)
Ga (0.3809, 0.7498, 0.0346)
Ga (0.6191, 0.2502, 0.9654)
Ga (0.6191, 0.7498, 0.4654)
Ga (0.8809, 0.2498, 0.4654)
Ga (0.8809, 0.7502, 0.9654)
W (0.0000, 0.0245, 0.7500)
W (0.0000, 0.9755, 0.2500)
W (0.1450, 0.3959, 0.3819)
W (0.1450, 0.6041, 0.8819)
W (0.3550, 0.1041, 0.8819)
W (0.3550, 0.8959, 0.3819)
W (0.5000, 0.4755, 0.2500)
W (0.5000, 0.5245, 0.7500)
W (0.6450, 0.1041, 0.6181)
W (0.6450, 0.8959, 0.1181)
W (0.8550, 0.3959, 0.1181)
W (0.8550, 0.6041, 0.6181)
O (0.0240, 0.3173, 0.4280)
O (0.0240, 0.6827, 0.9280)
O (0.0645, 0.1341, 0.8786)
O (0.0645, 0.8659, 0.3786)
O (0.0947, 0.0872, 0.1653)
O (0.0947, 0.9128, 0.6653)
O (0.1392, 0.4130, 0.9074)
O (0.1392, 0.5870, 0.4074)
O (0.1689, 0.3637, 0.1961)
O (0.1689, 0.6363, 0.6961)
O (0.2433, 0.3179, 0.4916)
O (0.2433, 0.6821, 0.9916)
O (0.2567, 0.1821, 0.9916)
O (0.2567, 0.8179, 0.4916)
O (0.3311, 0.1363, 0.6961)
O (0.3311, 0.8637, 0.1961)
O (0.3608, 0.0870, 0.4074)
O (0.3608, 0.9130, 0.9074)
O (0.4053, 0.4128, 0.6653)
O (0.4053, 0.5872, 0.1653)
O (0.4355, 0.3659, 0.3786)
O (0.4355, 0.6341, 0.8786)
O (0.4760, 0.1827, 0.9280)
O (0.4760, 0.8173, 0.4280)
O (0.5240, 0.1827, 0.5720)
O (0.5240, 0.8173, 0.0720)
O (0.5645, 0.3659, 0.1214)
O (0.5645, 0.6341, 0.6214)
O (0.5947, 0.4128, 0.8347)
O (0.5947, 0.5872, 0.3347)
O (0.6392, 0.0870, 0.0926)
O (0.6392, 0.9130, 0.5926)
O (0.6689, 0.1363, 0.8039)
O (0.6689, 0.8637, 0.3039)
O (0.7433, 0.1821, 0.5084)
O (0.7433, 0.8179, 0.0084)
O (0.7567, 0.3179, 0.0084)
O (0.7567, 0.6821, 0.5084)
O (0.8311, 0.3637, 0.3039)
O (0.8311, 0.6363, 0.8039)
O (0.8608, 0.4130, 0.5926)
O (0.8608, 0.5870, 0.0926)
O (0.9053, 0.0872, 0.3347)
O (0.9053, 0.9128, 0.8347)
O (0.9355, 0.1341, 0.6214)
O (0.9355, 0.8659, 0.1214)
O (0.9760, 0.3173, 0.0720)
O (0.9760, 0.6827, 0.5720)

Computed properties:
symmetry	Pbcn (60)
DFT total energy	-6.985	eV per atom
mass density	5.026	g/cm³